The following is a DFT calculation (PBE) of crystalline SrNb4Ag3O12 at its relaxed geometry.

Output
The crystal system is cubic. Its uncorrected energy is -7.54 eV/atom.

Cell: 6.864 6.864 6.864 Å, 109.47 109.47 109.47°
Positions (direct):
O1 0.069 0.792 0.277
O2 0.277 0.485 0.208
O3 0.931 0.208 0.723
O4 0.277 0.069 0.792
O5 0.723 0.931 0.208
O6 0.208 0.277 0.485
O7 0.723 0.515 0.792
O8 0.485 0.208 0.277
O9 0.515 0.792 0.723
O10 0.792 0.277 0.069
O11 0.792 0.723 0.515
O12 0.208 0.723 0.931
Ag1 0.500 0.500 0.000
Ag2 0.500 0.000 0.500
Ag3 0.000 0.500 0.500
Nb1 0.000 0.000 0.500
Nb2 0.500 0.000 0.000
Nb3 0.000 0.500 0.000
Nb4 0.500 0.500 0.500
Sr1 0.000 0.000 0.000

---

The following is a DFT calculation (PBE) of crystalline NbAgOs2 at its relaxed geometry.

Output
Its formation energy is 0.5734 eV per atom. The crystal system is cubic. Its uncorrected energy is -8.27 eV/atom.

Cell: 4.488 4.488 4.488 Å, 60.00 60.00 60.00°
Site moments in Bohr magnetons follow the coordinates.
Positions (direct):
Os1 0.500 0.500 0.500  0.05
Os2 0.250 0.250 0.250  0.10
Nb1 0.000 0.000 0.000  0.00
Ag1 0.750 0.750 0.750  0.01

---

The following is a DFT calculation (PBE) of crystalline Nb3AgP5 at its relaxed geometry.

Output
The crystal system is hexagonal. Its uncorrected energy is -6.81 eV/atom.

Cell: 5.775 5.775 5.846 Å, 90.00 90.00 120.00°
Positions (direct):
P1 0.333 0.667 0.181
P2 0.333 0.667 0.819
P3 0.667 0.333 0.181
P4 0.667 0.333 0.819
P5 0.000 0.000 0.500
Nb1 0.000 0.500 0.500
Nb2 0.500 0.500 0.500
Nb3 0.500 0.000 0.500
Ag1 0.000 0.000 0.000